# La4Ga2C

Crystalline La4Ga2C at its relaxed geometry (PBE, the Alexandria database).

Unit cell a=5.279 b=5.279 c=14.745 alpha=90.00 beta=90.00 gamma=90.00
Space group I4/mmm (No. 139)
Asymmetric unit:
La 0.000 0.000 0.174 (multiplicity 4)
La 0.000 0.500 0.000 (multiplicity 4)
Ga 0.000 0.000 0.380 (multiplicity 4)
C 0.000 0.000 0.000 (multiplicity 2)

ΔE to the lowest computed polymorph = 0.00 kJ per mole of atoms
Formation energy from the elements = -0.32 eV/atom

=====

# LaGaC

Crystalline LaGaC at its relaxed geometry (PBE, the Alexandria database).

Unit cell a=5.479 b=9.457 c=4.788 alpha=90.00 beta=90.00 gamma=90.00
Space group Cmcm (No. 63)
Asymmetric unit:
La 0.000 0.191 0.250 (multiplicity 4)
Ga 0.000 0.500 0.000 (multiplicity 4)
C 0.000 0.319 0.750 (multiplicity 4)

ΔE to the lowest computed polymorph = 50.83 kJ per mole of atoms
Formation energy from the elements = 0.09 eV/atom

=====

# La4Ga2C

Crystalline La4Ga2C at its relaxed geometry (PBE, the Alexandria database).

Unit cell a=6.723 b=6.887 c=9.447 alpha=90.00 beta=110.04 gamma=90.00
Space group P2_1/m (No. 11)
Asymmetric unit:
La 0.007 0.005 0.265 (multiplicity 4)
La 0.413 0.250 0.075 (multiplicity 2)
La 0.442 0.250 0.642 (multiplicity 2)
Ga 0.177 0.750 0.040 (multiplicity 2)
Ga 0.276 0.750 0.576 (multiplicity 2)
C 0.248 0.250 0.810 (multiplicity 2)

ΔE to the lowest computed polymorph = 6.12 kJ per mole of atoms
Formation energy from the elements = -0.26 eV/atom

=====

# La12Ga6C

Crystalline La12Ga6C at its relaxed geometry (PBE, the Alexandria database).

Unit cell a=12.2172 b=12.2172 c=13.5185 alpha=90.00 beta=90.00 gamma=120.00
Space group R-3 (No. 148, hexagonal axes)
Asymmetric unit:
La 0.0408 0.8372 0.3856 (multiplicity 18)
La 0.0470 0.1892 0.8871 (multiplicity 18)
Ga 0.0093 0.6000 0.2586 (multiplicity 18)
C 0.0000 0.0000 0.0000 (multiplicity 3)

Formation energy from the elements = -0.35 eV/atom

=====

# La4GaC

Crystalline La4GaC at its relaxed geometry (PBE, the Alexandria database).

Unit cell a=5.264 b=18.704 c=6.964 alpha=90.00 beta=90.00 gamma=90.00
Space group Cmc2_1 (No. 36)
Asymmetric unit:
La 0.000 0.036 0.000 (multiplicity 4)
La 0.000 0.177 0.371 (multiplicity 4)
La 0.000 0.194 0.866 (multiplicity 4)
La 0.000 0.422 0.115 (multiplicity 4)
Ga 0.000 0.365 0.610 (multiplicity 4)
C 0.000 0.091 0.641 (multiplicity 4)

Formation energy from the elements = -0.20 eV/atom

=====

# LaGaC

Crystalline LaGaC at its relaxed geometry (PBE, the Alexandria database).

Unit cell a=7.627 b=4.176 c=8.005 alpha=90.00 beta=104.56 gamma=90.00
Space group C2/m (No. 12)
Asymmetric unit:
La 0.082 0.000 0.303 (multiplicity 4)
Ga 0.166 0.500 0.012 (multiplicity 4)
C 0.086 0.500 0.540 (multiplicity 4)

ΔE to the lowest computed polymorph = 0.00 kJ per mole of atoms
Formation energy from the elements = -0.44 eV/atom

=====

# La6Ga2C

Crystalline La6Ga2C at its relaxed geometry (PBE, the Alexandria database).

Unit cell a=6.662 b=8.575 c=11.218 alpha=90.00 beta=121.33 gamma=90.00
Space group P2_1/c (No. 14)
Asymmetric unit:
La 0.119 0.144 0.448 (multiplicity 4)
La 0.317 0.717 0.444 (multiplicity 4)
La 0.354 0.041 0.243 (multiplicity 4)
Ga 0.200 0.112 0.767 (multiplicity 4)
C 0.500 0.000 0.500 (multiplicity 2)

ΔE to the lowest computed polymorph = 0.00 kJ per mole of atoms
Formation energy from the elements = -0.30 eV/atom

=====

# LiLaGaC2

Crystalline LiLaGaC2 at its relaxed geometry (PBE, the Alexandria database).

Unit cell a=4.614 b=4.614 c=5.741 alpha=90.00 beta=90.00 gamma=90.00
Space group P4/mmm (No. 123)
Asymmetric unit:
Li 0.000 0.000 0.000 (multiplicity 1)
La 0.500 0.500 0.500 (multiplicity 1)
Ga 0.500 0.500 0.000 (multiplicity 1)
C 0.000 0.500 0.500 (multiplicity 2)

Formation energy from the elements = 1.78 eV/atom